Density functional theory data (PBE) for a geometry-optimized Li2ZnAu structure.

Output
Electronic total energy, eV/atom: -2.52
E_form, eV per atom: -0.43
D(E_F), states/eV/f.u.: 1.29

a b c (Å): 3.971 3.971 7.629
angles (deg): 90.00 90.00 90.00
Space group I-4m2 (No. 119)
One atom of each set of equivalent atoms:
Li: 0.000 0.000 0.000 (multiplicity 2)
Li: 0.000 0.500 0.250 (multiplicity 2)
Zn: 0.000 0.000 0.500 (multiplicity 2)
Au: 0.000 0.500 0.750 (multiplicity 2)